Record 1
MnNb2Ag after structural relaxation. Source: Alexandria, functional PBE-GGA.

Cell and atoms, written as POSCAR:
```
MnNb2Ag
1.0
-4.0059 5.5587 -1.9142
-4.9400 -4.4384 -2.5509
-5.6966 0.5190 0.2089
Nb Mn Ag
4 2 2
Cartesian
-4.3856 2.8275 -1.3867 Nb
-5.1721 -1.7278 -1.8577 Nb
-7.8242 0.6324 -1.6195 Nb
-11.9031 1.5464 -3.6486 Nb
-4.4729 0.5601 -2.2325 Mn
-7.5548 -1.6797 -2.2873 Mn
0.0000 0.0000 0.0000 Ag
-7.0877 3.3189 -1.9689 Ag
```

Computed properties:
- E_form: 614.8 meV per atom
- Distance to the lowest polymorph of the same formula: 248 meV/atom
- Space-group type: No. 122

---

Record 2
SnH after structural relaxation. Source: Alexandria, functional PBE-GGA.

Cell and atoms, written as POSCAR:
```
SnH
1.0
-7.6457 -3.4576 5.4176
6.2042 -1.7737 7.6239
-0.5226 2.8673 1.0924
Sn H
8 8
Cartesian
-2.8552 -3.5809 8.0331 Sn
1.4137 -1.6504 5.0083 Sn
-2.4528 -2.1205 4.3924 Sn
1.0112 -3.1108 8.6491 Sn
-2.3957 0.4684 2.0586 Sn
-5.7726 -1.0587 4.4513 Sn
4.2109 0.1551 6.0418 Sn
1.4707 0.9385 2.6745 Sn
-0.5228 -1.8972 4.7296 H
1.1814 -2.3844 6.8238 H
-2.6230 -2.8469 6.2177 H
-0.9188 -3.3341 8.3119 H
-1.5049 -3.0792 11.7965 H
-6.0049 -1.7927 6.2668 H
4.0407 -0.5713 7.8671 H
-0.4593 0.7152 2.3374 H
```

Computed properties:
- Distance to the lowest polymorph of the same formula: 210 meV/atom
- Space-group type: No. 139

---

Record 3
TmTh2 after structural relaxation. Source: Alexandria, functional PBE-GGA.

Cell and atoms, written as POSCAR:
```
TmTh2
1.0
6.5905 0.0000 0.0000
3.2952 5.7075 0.0000
3.2952 1.9025 5.3811
Tm Th
2 4
Cartesian
0.0000 0.0000 0.0000 Tm
3.2952 1.9025 1.3453 Tm
4.9429 4.7563 3.3632 Th
6.5905 1.9025 3.3632 Th
8.2381 4.7563 3.3632 Th
6.5905 3.8050 0.6726 Th
```

Computed properties:
- E_form: 286.4 meV per atom
- Distance to the lowest polymorph of the same formula: 243 meV/atom
- Space-group type: No. 227

---

Record 4
RbPdF4 after structural relaxation. Source: Alexandria, functional PBE-GGA.

Cell and atoms, written as POSCAR:
```
RbPdF4
1.0
5.5726 0.0001 0.0007
-0.0001 5.8353 0.0239
-2.7855 -2.4098 6.3779
Rb Pd F
2 2 8
Cartesian
1.5075 1.9664 6.3932 Rb
1.2795 1.4592 0.0093 Rb
1.3936 -1.2049 3.1893 Pd
-1.3928 1.7127 3.2009 Pd
1.0151 -1.3091 5.1125 F
3.8023 1.8193 1.2784 F
1.7719 4.7347 1.2900 F
-1.0153 1.6063 5.1242 F
3.0231 3.3930 3.6364 F
0.2378 2.9497 2.7806 F
-0.2361 0.0326 2.7661 F
2.5492 0.4759 3.6220 F
```

Computed properties:
- E_form (uncorrected): -1858 meV/atom
- Space-group type: No. 2

---

Record 5
Cu2Ag2Hg after structural relaxation. Source: Alexandria, functional PBE-GGA.

Cell and atoms, written as POSCAR:
```
Cu2Ag2Hg
1.0
7.6407 0.0000 0.0000
0.0000 7.6407 0.0000
0.0000 0.0000 2.9270
Cu Hg Ag
4 2 4
Cartesian
1.2510 5.0714 1.4635 Cu
5.0714 6.3897 1.4635 Cu
6.3897 2.5693 1.4635 Cu
2.5693 1.2510 1.4635 Cu
0.0000 0.0000 0.0000 Hg
3.8204 3.8204 0.0000 Hg
2.8119 6.6323 0.0000 Ag
6.6323 4.8288 0.0000 Ag
4.8288 1.0085 0.0000 Ag
1.0085 2.8119 0.0000 Ag
```

Computed properties:
- E_form: 201.3 meV per atom
- Distance to the lowest polymorph of the same formula: 50 meV/atom
- Space-group type: No. 127

---

Record 6
Zr5Au3 after structural relaxation. Source: Alexandria, functional PBE-GGA.

Cell and atoms, written as POSCAR:
```
Zr5Au3
1.0
-0.6747 3.2159 -0.4301
-0.6194 0.3035 3.2414
14.7451 3.4275 2.4965
Zr Au
5 3
Cartesian
3.5571 0.8268 0.6023 Zr
8.5342 3.8939 2.9602 Zr
4.9168 3.0530 2.3477 Zr
11.1880 2.6006 1.8943 Zr
0.0000 0.0000 0.0000 Zr
1.1945 2.1878 1.7175 Au
12.2565 4.7591 3.5904 Au
7.3726 1.7137 1.2483 Au
```

Computed properties:
- E_form: -425.2 meV per atom
- Distance to the lowest polymorph of the same formula: 0 meV/atom
- Space-group type: No. 123